The following is a DFT calculation (PBE) of a relaxed PuScNi4 crystal.

Summary:
Energy of formation in eV/atom: -0.361
Total DFT energy (no corrections) in eV for the cell shown: -45.95
Space group: No. 216
Volume in Å³ per cell: 87

POSCAR file:
```
PuScNi4
1.0
0.000 3.517 3.517
3.517 0.000 3.517
3.517 3.517 0.000
Pu Sc Ni
1 1 4
Direct
0.000 0.000 0.000
0.750 0.750 0.750
0.375 0.375 0.375
0.375 0.375 0.875
0.375 0.875 0.375
0.875 0.375 0.375
```